No. 1
## Nd5Ge4 (PBEsol)

Data for crystalline Nd5Ge4 at its relaxed geometry.

Values from the calculation:
space group = No. 62
V = 25.8 Å³ per atom
E_form = -0.838 eV/atom

a b c (Å): 7.814 14.971 7.925
angles (deg): 90.00 90.00 90.00
Atoms (fractional coordinates):
Nd 0.019 0.101 0.181
Nd 0.019 0.399 0.181
Nd 0.123 0.616 0.339
Nd 0.123 0.884 0.339
Nd 0.209 0.250 0.502
Nd 0.291 0.750 0.002
Nd 0.377 0.116 0.839
Nd 0.377 0.384 0.839
Nd 0.481 0.601 0.681
Nd 0.481 0.899 0.681
Nd 0.519 0.101 0.319
Nd 0.519 0.399 0.319
Nd 0.623 0.616 0.161
Nd 0.623 0.884 0.161
Nd 0.709 0.250 0.998
Nd 0.791 0.750 0.498
Nd 0.877 0.116 0.661
Nd 0.877 0.384 0.661
Nd 0.981 0.601 0.819
Nd 0.981 0.899 0.819
Ge 0.083 0.250 0.892
Ge 0.181 0.750 0.633
Ge 0.218 0.044 0.534
Ge 0.218 0.456 0.534
Ge 0.282 0.544 0.034
Ge 0.282 0.956 0.034
Ge 0.319 0.250 0.133
Ge 0.417 0.750 0.392
Ge 0.583 0.250 0.608
Ge 0.681 0.750 0.867
Ge 0.718 0.044 0.966
Ge 0.718 0.456 0.966
Ge 0.782 0.544 0.466
Ge 0.782 0.956 0.466
Ge 0.819 0.250 0.367
Ge 0.917 0.750 0.108

---

No. 2
## Nd3Ge5 (PBEsol)

Data for crystalline Nd3Ge5 at its relaxed geometry.

Values from the calculation:
space group = No. 43
V = 22.5 Å³ per atom
E_form = -0.804 eV/atom

a b c (Å): 11.226 7.567 9.272
angles (deg): 82.96 41.99 55.05
Atoms (fractional coordinates):
Nd 0.000 0.000 0.000
Nd 0.250 0.250 0.250
Nd 0.319 0.668 0.343
Nd 0.581 0.907 0.582
Nd 0.668 0.319 0.669
Nd 0.907 0.581 0.931
Ge 0.065 0.760 0.262
Ge 0.204 0.480 0.938
Ge 0.312 0.872 0.046
Ge 0.337 0.988 0.490
Ge 0.480 0.204 0.378
Ge 0.552 0.552 0.448
Ge 0.760 0.065 0.913
Ge 0.802 0.802 0.698
Ge 0.872 0.312 0.770
Ge 0.988 0.337 0.185

---

No. 3
## NdGe (PBEsol)

Data for crystalline NdGe at its relaxed geometry.

Values from the calculation:
space group = No. 63
V = 24.3 Å³ per atom
E_form = -0.902 eV/atom

a b c (Å): 4.426 10.956 4.004
angles (deg): 90.00 90.00 90.00
Atoms (fractional coordinates):
Nd 0.000 0.139 0.250
Nd 0.000 0.861 0.750
Nd 0.500 0.361 0.750
Nd 0.500 0.639 0.250
Ge 0.000 0.420 0.250
Ge 0.000 0.580 0.750
Ge 0.500 0.080 0.750
Ge 0.500 0.920 0.250

---

No. 4
## Nd5Ge3 (PBEsol)

Data for crystalline Nd5Ge3 at its relaxed geometry.

Values from the calculation:
space group = No. 193
V = 27.2 Å³ per atom
E_form = -0.725 eV/atom

a b c (Å): 8.733 8.733 6.587
angles (deg): 90.00 90.00 120.00
Atoms (fractional coordinates):
Nd 0.000 0.246 0.250
Nd 0.000 0.754 0.750
Nd 0.246 0.000 0.250
Nd 0.246 0.246 0.750
Nd 0.333 0.667 0.000
Nd 0.333 0.667 0.500
Nd 0.667 0.333 0.000
Nd 0.667 0.333 0.500
Nd 0.754 0.000 0.750
Nd 0.754 0.754 0.250
Ge 0.000 0.392 0.750
Ge 0.000 0.608 0.250
Ge 0.392 0.000 0.750
Ge 0.392 0.392 0.250
Ge 0.608 0.000 0.250
Ge 0.608 0.608 0.750

---

No. 5
## NdGe2 (PBEsol)

Data for crystalline NdGe2 at its relaxed geometry.

Values from the calculation:
space group = No. 141
V = 22.2 Å³ per atom
E_form = -0.669 eV/atom

a b c (Å): 4.064 4.064 16.146
angles (deg): 90.00 90.00 90.00
Atoms (fractional coordinates):
Nd 0.000 0.250 0.375
Nd 0.000 0.750 0.625
Nd 0.500 0.250 0.125
Nd 0.500 0.750 0.875
Ge 0.000 0.250 0.796
Ge 0.000 0.250 0.954
Ge 0.000 0.750 0.046
Ge 0.000 0.750 0.204
Ge 0.500 0.250 0.546
Ge 0.500 0.250 0.704
Ge 0.500 0.750 0.296
Ge 0.500 0.750 0.454

---

No. 6
## NdNiGe3 (PBEsol)

Data for crystalline NdNiGe3 at its relaxed geometry.

Values from the calculation:
space group = No. 65
V = 18.2 Å³ per atom
E_form = -0.667 eV/atom

a b c (Å): 11.009 11.009 4.110
angles (deg): 90.00 90.00 158.57
Atoms (fractional coordinates):
Nd 0.169 0.831 0.000
Nd 0.831 0.169 0.000
Ni 0.391 0.609 0.500
Ni 0.609 0.391 0.500
Ge 0.057 0.943 0.500
Ge 0.284 0.716 0.500
Ge 0.443 0.557 0.000
Ge 0.557 0.443 0.000
Ge 0.716 0.284 0.500
Ge 0.943 0.057 0.500

---

No. 7
## NdNiGe (PBEsol)

Data for crystalline NdNiGe at its relaxed geometry.

Values from the calculation:
space group = No. 62
V = 18.3 Å³ per atom
E_form = -0.739 eV/atom

a b c (Å): 7.166 4.309 7.093
angles (deg): 90.00 90.00 90.00
Atoms (fractional coordinates):
Nd 0.018 0.250 0.194
Nd 0.482 0.750 0.694
Nd 0.518 0.250 0.306
Nd 0.982 0.750 0.806
Ni 0.178 0.750 0.418
Ni 0.322 0.250 0.918
Ni 0.678 0.750 0.082
Ni 0.822 0.250 0.582
Ge 0.186 0.250 0.593
Ge 0.314 0.750 0.093
Ge 0.686 0.250 0.907
Ge 0.814 0.750 0.407

---

No. 8
## Nd3Ge13Os4 (PBEsol)

Data for crystalline Nd3Ge13Os4 at its relaxed geometry.

Values from the calculation:
space group = No. 223
V = 18.5 Å³ per atom
E_form = -0.382 eV/atom

a b c (Å): 9.053 9.053 9.053
angles (deg): 90.00 90.00 90.00
Atoms (fractional coordinates):
Nd 0.000 0.250 0.500
Nd 0.000 0.750 0.500
Nd 0.250 0.500 0.000
Nd 0.500 0.000 0.250
Nd 0.500 0.000 0.750
Nd 0.750 0.500 0.000
Ge 0.000 0.000 0.000
Ge 0.000 0.295 0.145
Ge 0.000 0.295 0.855
Ge 0.000 0.705 0.145
Ge 0.000 0.705 0.855
Ge 0.145 0.000 0.295
Ge 0.145 0.000 0.705
Ge 0.205 0.500 0.355
Ge 0.205 0.500 0.645
Ge 0.295 0.145 0.000
Ge 0.295 0.855 0.000
Ge 0.355 0.205 0.500
Ge 0.355 0.795 0.500
Ge 0.500 0.355 0.205
Ge 0.500 0.355 0.795
Ge 0.500 0.500 0.500
Ge 0.500 0.645 0.205
Ge 0.500 0.645 0.795
Ge 0.645 0.205 0.500
Ge 0.645 0.795 0.500
Ge 0.705 0.145 0.000
Ge 0.705 0.855 0.000
Ge 0.795 0.500 0.355
Ge 0.795 0.500 0.645
Ge 0.855 0.000 0.295
Ge 0.855 0.000 0.705
Os 0.250 0.250 0.250
Os 0.250 0.250 0.750
Os 0.250 0.750 0.250
Os 0.250 0.750 0.750
Os 0.750 0.250 0.250
Os 0.750 0.250 0.750
Os 0.750 0.750 0.250
Os 0.750 0.750 0.750

---

E values, unit eV for the cell shown, following the record order: -212.53; -93.26; -47.64; -92.90; -68.21; -58.96; -73.92; -272.40.